Entry 1:
Material: MnMoO2F
Method: DFT, PBEsol
State: optimized geometry

POSCAR file:
```
MnMoO2F
1.0
3.854 0.000 0.000
0.000 3.854 0.000
0.000 0.000 4.177
Mn Mo O F
1 1 2 1
direct
0.000 0.000 0.000
0.500 0.500 0.500
0.000 0.500 0.500
0.500 0.000 0.500
0.500 0.500 0.000
```

Properties
Formation energy without anion corrections   -1119 meV per atom
Space-group type   P4/mmm
Final energy   -7.910 eV/atom
Calculated volume   12.41 Å³/atom
Size of the total moment   4.62 μB/cell
DOS at the Fermi energy   3.4 states/eV/cell

Entry 2:
Material: MnMo2RuF
Method: DFT, PBEsol
State: optimized geometry

POSCAR file:
```
MnMo2RuF
1.0
4.028 0.000 0.000
0.000 4.028 0.000
0.000 0.000 4.106
Mn Mo Ru F
1 2 1 1
direct
0.000 0.000 0.000
0.000 0.500 0.500
0.500 0.000 0.500
0.500 0.500 0.000
0.000 0.000 0.500
```

Properties
Formation energy without anion corrections   520 meV per atom
Space-group type   P4/mmm
Final energy   -8.560 eV/atom
Calculated volume   13.32 Å³/atom
Size of the total moment   2.26 μB/cell
DOS at the Fermi energy   5.1 states/eV/cell

Entry 3:
Material: MnSiMo2F
Method: DFT, PBEsol
State: optimized geometry

POSCAR file:
```
MnSiMo2F
1.0
4.778 0.000 0.000
0.000 4.778 0.000
0.000 0.000 3.473
Mn Si Mo F
1 1 2 1
direct
0.000 0.000 0.000
0.500 0.500 0.500
0.000 0.500 0.500
0.500 0.000 0.500
0.500 0.500 0.000
```

Properties
Formation energy without anion corrections   746 meV per atom
Space-group type   P4/mmm
Final energy   -7.448 eV/atom
Calculated volume   15.86 Å³/atom
Size of the total moment   0.09 μB/cell
DOS at the Fermi energy   4.1 states/eV/cell